[1]
{"formula": "SrAsAu2", "functional": "PBE-GGA", "state": "optimized geometry", "total_magnetization_mub_per_fu": 0.0, "crystal_system": "trigonal", "mass_density_g_cm3": 9.40, "e_tot_ev_per_atom": -3.686, "delta_e_f_ev_per_atom": -0.465, "lattice_angstrom": [[-5.153, -0.096, -2.923], [-1.564, -1.421, -5.535], [-3.310, -4.309, -2.362]], "species": ["As", "Sr", "Au", "Au"], "fractional_positions": [[0.750, 0.750, 0.750], [0.250, 0.250, 0.250], [0.035, 0.035, 0.035], [0.465, 0.465, 0.465]]}


[2]
{"formula": "Sm2TmPu3Se6", "functional": "PBE-GGA", "state": "optimized geometry", "total_magnetization_mub_per_fu": 17.5, "crystal_system": "monoclinic", "mass_density_g_cm3": 9.29, "e_tot_ev_per_atom": -8.157, "lattice_angstrom": [[4.116, 0.000, 0.000], [0.000, 8.295, 0.259], [-2.058, -2.431, 8.694]], "species": ["Pu", "Pu", "Pu", "Se", "Se", "Se", "Se", "Se", "Se", "Sm", "Sm", "Tm"], "fractional_positions": [[0.831, 0.166, 0.662], [0.500, 0.500, 0.000], [0.169, 0.834, 0.338], [0.999, 0.241, 0.997], [0.337, 0.920, 0.674], [0.666, 0.586, 0.331], [0.334, 0.414, 0.669], [0.663, 0.080, 0.326], [0.001, 0.759, 0.003], [0.167, 0.335, 0.335], [0.833, 0.665, 0.665], [0.500, 0.000, 0.000]]}


[3]
{"formula": "CoGeOs3", "functional": "PBE-GGA", "state": "optimized geometry", "total_magnetization_mub_per_fu": 1.4, "de_polymorph_mev_per_atom": 0, "crystal_system": "cubic", "mass_density_g_cm3": 13.44, "e_tot_ev_per_atom": -7.236, "delta_e_f_ev_per_atom": 1.846, "lattice_angstrom": [[-1.858, 0.349, 4.003], [-3.265, -2.701, -1.280], [2.341, -3.490, 1.392]], "species": ["Os", "Os", "Os", "Ge", "Co"], "fractional_positions": [[0.500, 0.000, 0.000], [0.000, 0.000, 0.500], [0.000, 0.500, 0.000], [0.500, 0.500, 0.500], [0.000, 0.000, 0.000]]}